No. 1
! Sm3Y2Er6Sc (PBE, relaxed); values from VASP
! - DOS(E_F): 17.25 states/eV/cell
! - Energy: -60.426 eV for the cell shown
! - SG: C2/m (12)
! - Crystal system: monoclinic
&SYSTEM
  ibrav = 0, nat = 12, ntyp = 4
/
ATOMIC_SPECIES
Sm 150.36 Sm.upf
Y 88.91 Y.upf
Er 167.26 Er.upf
Sc 44.96 Sc.upf
CELL_PARAMETERS angstrom
3.059 -5.294 0.000
3.059 5.294 0.000
-2.035 0.000 11.498
ATOMIC_POSITIONS angstrom
Sm 0.000 0.000 0.000
Sm 3.059 1.764 0.000
Sm 3.059 -1.764 0.000
Y 2.041 3.531 5.749
Y 2.041 -3.531 5.749
Er 1.034 1.749 2.921
Er 0.017 0.000 8.580
Er 1.034 -1.749 2.921
Er 3.048 1.749 8.577
Er 4.065 0.000 2.919
Er 3.048 -1.749 8.577
Sc 2.041 0.000 5.749

---

No. 2
! Li2As (PBE, relaxed); values from VASP
! - E above lowest polymorph: 0.800 eV/f.u.
! - DOS(E_F): 1.43 states/eV/cell
! - Energy: -19.143 eV for the cell shown
! - SG: I4_1/amd (141)
! - Crystal system: tetragonal
&SYSTEM
  ibrav = 0, nat = 6, ntyp = 2
/
ATOMIC_SPECIES
Li 6.94 Li.upf
As 74.92 As.upf
CELL_PARAMETERS angstrom
-1.603 1.603 11.221
1.603 -1.603 11.221
1.603 1.603 -11.221
ATOMIC_POSITIONS angstrom
Li 1.603 0.801 1.395
Li 1.603 0.801 4.216
Li 0.000 0.801 7.005
Li 0.000 0.801 9.826
As 1.603 -0.801 8.416
As 0.000 2.404 2.805

---

No. 3
! SrTmNp2O8 (PBE, relaxed); values from VASP
! - Raw formation energy: -3011 meV per atom
! - DOS(E_F): 12.44 states/eV/cell
! - Energy: -107.832 eV for the cell shown
! - SG: I-4m2 (119)
! - Crystal system: tetragonal
&SYSTEM
  ibrav = 0, nat = 12, ntyp = 4
/
ATOMIC_SPECIES
Sr 87.62 Sr.upf
Tm 168.93 Tm.upf
Np 237.00 Np.upf
O 16.00 O.upf
CELL_PARAMETERS angstrom
-2.702 2.702 5.295
2.702 -2.702 5.295
2.702 2.702 -5.295
ATOMIC_POSITIONS angstrom
Sr 0.000 0.000 0.000
Tm 2.702 0.000 2.647
Np 0.000 0.000 5.295
Np 0.000 2.702 2.647
O 1.479 1.406 -1.366
O 3.925 1.406 -1.366
O 1.406 1.479 1.366
O 1.296 -1.223 6.660
O -1.223 1.296 3.929
O 1.223 1.296 3.929
O 1.406 3.925 1.366
O 1.296 1.223 6.660

---

No. 4
! ScFe2P (PBE, relaxed); values from VASP
! - DOS(E_F): 2.19 states/eV/cell
! - Energy: -29.765 eV for the cell shown
! - SG: I-4m2 (119)
! - Crystal system: tetragonal
&SYSTEM
  ibrav = 0, nat = 4, ntyp = 3
/
ATOMIC_SPECIES
Sc 44.96 Sc.upf
Fe 55.84 Fe.upf
P 30.97 P.upf
CELL_PARAMETERS angstrom
-1.915 1.915 3.694
1.915 -1.915 3.694
1.915 1.915 -3.694
ATOMIC_POSITIONS angstrom
Sc 0.000 0.000 0.000
Fe 1.915 0.000 1.847
Fe 0.000 0.000 3.694
P 0.000 1.915 1.847

---

No. 5
! Sm2Ho3Tl6 (PBE, relaxed); values from VASP
! - DOS(E_F): 13.12 states/eV/cell
! - Energy: -35.740 eV for the cell shown
! - SG: I4/mmm (139)
! - Crystal system: tetragonal
&SYSTEM
  ibrav = 0, nat = 11, ntyp = 3
/
ATOMIC_SPECIES
Sm 150.36 Sm.upf
Ho 164.93 Ho.upf
Tl 204.38 Tl.upf
CELL_PARAMETERS angstrom
-2.962 2.962 11.207
2.962 -2.962 11.207
2.962 2.962 -11.207
ATOMIC_POSITIONS angstrom
Sm 0.000 0.000 1.781
Sm 0.000 0.000 20.632
Ho 0.000 0.000 8.023
Ho 0.000 0.000 11.207
Ho 0.000 0.000 14.391
Tl 2.962 0.000 1.636
Tl 0.000 0.000 4.925
Tl 2.962 0.000 9.571
Tl 0.000 2.962 1.636
Tl 0.000 0.000 17.488
Tl 0.000 2.962 9.571

---

No. 6
! RbCa2B (PBE, relaxed); values from VASP
! - DOS(E_F): 0.50 states/eV/cell
! - Energy: -18.755 eV for the cell shown
! - SG: I-42d (122)
! - Crystal system: tetragonal
&SYSTEM
  ibrav = 0, nat = 8, ntyp = 3
/
ATOMIC_SPECIES
Rb 85.47 Rb.upf
Ca 40.08 Ca.upf
B 10.81 B.upf
CELL_PARAMETERS angstrom
-4.097 4.097 5.777
4.097 -4.097 5.777
4.097 4.097 -5.777
ATOMIC_POSITIONS angstrom
Rb 0.000 0.000 0.000
Rb 0.000 4.097 2.888
Ca 2.048 4.081 -1.444
Ca 4.113 2.048 1.444
Ca 2.048 0.016 4.333
Ca -0.016 2.048 7.221
B 4.097 0.000 2.888
B 0.000 0.000 5.777

---

No. 7
! TlHg2Cl8 (PBE, relaxed); values from VASP
! - Raw formation energy: -409 meV per atom
! - E above lowest polymorph: 0.321 eV/f.u.
! - DOS(E_F): 13.57 states/eV/cell
! - Energy: -22.245 eV for the cell shown
! - SG: C2/m (12)
! - Crystal system: monoclinic
&SYSTEM
  ibrav = 0, nat = 11, ntyp = 3
/
ATOMIC_SPECIES
Tl 204.38 Tl.upf
Hg 200.59 Hg.upf
Cl 35.45 Cl.upf
CELL_PARAMETERS angstrom
5.117 -3.867 0.000
5.117 3.867 0.000
-2.596 0.000 10.629
ATOMIC_POSITIONS angstrom
Tl 0.000 0.000 0.000
Hg 0.180 0.000 4.005
Hg 7.457 0.000 6.624
Cl -0.405 0.000 6.861
Cl 2.167 2.063 8.910
Cl 5.471 2.063 1.719
Cl 2.464 0.000 4.532
Cl 5.174 0.000 6.097
Cl 2.167 -2.063 8.910
Cl 5.471 -2.063 1.719
Cl 8.043 0.000 3.768

---

No. 8
! KTl2Sb (PBE, relaxed); values from VASP
! - Raw formation energy: -56 meV per atom
! - DOS(E_F): 3.09 states/eV/cell
! - Energy: -10.176 eV for the cell shown
! - SG: C2/m (12)
! - Crystal system: monoclinic
&SYSTEM
  ibrav = 0, nat = 4, ntyp = 3
/
ATOMIC_SPECIES
K 39.10 K.upf
Tl 204.38 Tl.upf
Sb 121.76 Sb.upf
CELL_PARAMETERS angstrom
3.461 -6.027 0.000
3.461 6.027 0.000
-1.411 0.000 3.111
ATOMIC_POSITIONS angstrom
K 0.000 0.000 0.000
Tl 1.025 3.014 1.556
Tl 1.025 -3.014 1.556
Sb 3.461 0.000 0.000

---

No. 9
! YTa2Mn (PBE, relaxed); values from VASP
! - E above lowest polymorph: 0.834 eV/f.u.
! - DOS(E_F): 4.67 states/eV/cell
! - Energy: -37.698 eV for the cell shown
! - SG: R-3m (166)
! - Crystal system: trigonal
&SYSTEM
  ibrav = 0, nat = 4, ntyp = 3
/
ATOMIC_SPECIES
Y 88.91 Y.upf
Ta 180.95 Ta.upf
Mn 54.94 Mn.upf
CELL_PARAMETERS angstrom
1.561 0.901 9.090
-1.561 0.901 9.090
0.000 -1.803 9.090
ATOMIC_POSITIONS angstrom
Y 0.000 0.000 0.000
Ta 0.000 0.000 6.343
Ta 0.000 0.000 20.927
Mn 0.000 0.000 13.635

---

No. 10
! Cd5SnCl12 (PBE, relaxed); values from VASP
! - Raw formation energy: -1064 meV per atom
! - DOS(E_F): 0.00 states/eV/cell
! - Energy: -49.890 eV for the cell shown
! - SG: C2/m (12)
! - Crystal system: monoclinic
&SYSTEM
  ibrav = 0, nat = 18, ntyp = 3
/
ATOMIC_SPECIES
Cd 112.41 Cd.upf
Sn 118.71 Sn.upf
Cl 35.45 Cl.upf
CELL_PARAMETERS angstrom
3.427 -5.953 0.000
3.427 5.953 0.000
-0.038 0.000 12.876
ATOMIC_POSITIONS angstrom
Cd 0.000 0.000 0.000
Cd 3.408 3.969 6.438
Cd 3.427 1.985 0.000
Cd 3.427 -1.985 0.000
Cd 3.408 -3.969 6.438
Sn 3.408 0.000 6.438
Cl 4.532 -3.970 11.467
Cl 2.285 3.970 1.409
Cl 2.192 2.114 4.944
Cl 0.971 0.000 7.934
Cl 4.532 3.970 11.467
Cl 2.287 0.000 1.414
Cl 2.192 -2.114 4.944
Cl 4.624 2.114 7.932
Cl 4.529 0.000 11.462
Cl 2.285 -3.970 1.409
Cl 5.846 0.000 4.942
Cl 4.624 -2.114 7.932

---

No. 11
! Na2SrHfTe4 (PBE, relaxed); values from VASP
! - Raw formation energy: -1061 meV per atom
! - DOS(E_F): 0.06 states/eV/cell
! - Energy: -35.327 eV for the cell shown
! - SG: P2/m (10)
! - Crystal system: monoclinic
&SYSTEM
  ibrav = 0, nat = 8, ntyp = 4
/
ATOMIC_SPECIES
Na 22.99 Na.upf
Sr 87.62 Sr.upf
Hf 178.49 Hf.upf
Te 127.60 Te.upf
CELL_PARAMETERS angstrom
7.873 0.000 0.000
0.000 4.385 0.000
-2.465 0.000 7.538
ATOMIC_POSITIONS angstrom
Na 0.000 0.000 0.000
Na 3.936 2.193 0.000
Sr -1.232 2.193 3.769
Hf 2.704 0.000 3.769
Te 0.394 0.000 5.533
Te 1.568 2.193 2.096
Te 3.840 2.193 5.441
Te 5.014 0.000 2.005

---

No. 12
! Tm5AgPd4 (PBE, relaxed); values from VASP
! - DOS(E_F): 7.76 states/eV/cell
! - Energy: -54.128 eV for the cell shown
! - SG: P4/mmm (123)
! - Crystal system: tetragonal
&SYSTEM
  ibrav = 0, nat = 10, ntyp = 3
/
ATOMIC_SPECIES
Tm 168.93 Tm.upf
Ag 107.87 Ag.upf
Pd 106.42 Pd.upf
CELL_PARAMETERS angstrom
3.482 0.000 0.000
0.000 3.482 0.000
0.000 0.000 17.519
ATOMIC_POSITIONS angstrom
Tm 0.000 0.000 0.000
Tm 0.000 0.000 3.444
Tm 0.000 0.000 6.887
Tm 0.000 0.000 10.631
Tm 0.000 0.000 14.074
Ag 1.741 1.741 8.759
Pd 1.741 1.741 1.727
Pd 1.741 1.741 5.191
Pd 1.741 1.741 12.328
Pd 1.741 1.741 15.792

---

No. 13
! Th3Zn9Rh2 (PBE, relaxed); values from VASP
! - DOS(E_F): 9.61 states/eV/cell
! - Energy: -53.974 eV for the cell shown
! - SG: Immm (71)
! - Crystal system: orthorhombic
&SYSTEM
  ibrav = 0, nat = 14, ntyp = 3
/
ATOMIC_SPECIES
Th 232.04 Th.upf
Zn 65.41 Zn.upf
Rh 102.91 Rh.upf
CELL_PARAMETERS angstrom
-2.246 4.661 6.234
2.246 -4.661 6.234
2.246 4.661 -6.234
ATOMIC_POSITIONS angstrom
Th 0.000 0.000 0.000
Th 0.000 0.000 3.791
Th 0.000 0.000 8.676
Zn 2.246 -1.300 1.946
Zn 2.246 -2.043 4.626
Zn 2.246 1.300 1.946
Zn 0.000 2.618 1.608
Zn 0.000 4.661 0.000
Zn 2.246 2.043 4.626
Zn 0.000 3.361 4.288
Zn 0.000 6.705 1.608
Zn 0.000 5.961 4.288
Rh 2.246 3.065 0.000
Rh 0.000 1.596 6.234

---

No. 14
! Mn2WCl (PBE, relaxed); values from VASP
! - Raw formation energy: 227 meV per atom
! - E above lowest polymorph: 0.208 eV/f.u.
! - DOS(E_F): 3.23 states/eV/cell
! - Energy: -32.230 eV for the cell shown
! - SG: Pmm2 (25)
! - Crystal system: orthorhombic
&SYSTEM
  ibrav = 0, nat = 4, ntyp = 3
/
ATOMIC_SPECIES
Mn 54.94 Mn.upf
W 183.84 W.upf
Cl 35.45 Cl.upf
CELL_PARAMETERS angstrom
2.936 0.000 0.000
0.000 3.034 0.000
0.000 0.000 7.245
ATOMIC_POSITIONS angstrom
Mn 0.000 0.000 0.000
Mn 1.468 1.517 1.576
W 0.000 0.000 2.895
Cl 1.468 0.000 4.965

---

No. 15
! CaTl3Ag3 (PBE, relaxed); values from VASP
! - DOS(E_F): 10.65 states/eV/cell
! - Energy: -30.479 eV for the cell shown
! - SG: Pm-3n (223)
! - Crystal system: cubic
&SYSTEM
  ibrav = 0, nat = 14, ntyp = 3
/
ATOMIC_SPECIES
Ca 40.08 Ca.upf
Tl 204.38 Tl.upf
Ag 107.87 Ag.upf
CELL_PARAMETERS angstrom
7.802 0.000 0.000
0.000 7.802 0.000
0.000 0.000 7.802
ATOMIC_POSITIONS angstrom
Ca 0.000 0.000 0.000
Ca 3.901 3.901 3.901
Tl 0.000 1.951 3.901
Tl 0.000 5.852 3.901
Tl 1.951 3.901 0.000
Tl 3.901 0.000 1.951
Tl 3.901 0.000 5.852
Tl 5.852 3.901 0.000
Ag 0.000 3.901 1.951
Ag 0.000 3.901 5.852
Ag 1.951 0.000 3.901
Ag 3.901 1.951 0.000
Ag 3.901 5.852 0.000
Ag 5.852 0.000 3.901

---

No. 16
! NaLiS (PBE, relaxed); values from VASP
! - Raw formation energy: -902 meV per atom
! - DOS(E_F): 0.00 states/eV/cell
! - Energy: -10.067 eV for the cell shown
! - SG: I4mm (107)
! - Crystal system: tetragonal
&SYSTEM
  ibrav = 0, nat = 3, ntyp = 3
/
ATOMIC_SPECIES
Na 22.99 Na.upf
Li 6.94 Li.upf
S 32.06 S.upf
CELL_PARAMETERS angstrom
-1.885 1.885 3.802
1.885 -1.885 3.802
1.885 1.885 -3.802
ATOMIC_POSITIONS angstrom
Na 0.000 0.000 0.000
Li 0.000 0.000 2.438
S 0.000 0.000 4.926

---

No. 17
! La2DyIr2 (PBE, relaxed); values from VASP
! - DOS(E_F): 7.46 states/eV/cell
! - Energy: -70.461 eV for the cell shown
! - SG: Cmc2_1 (36)
! - Crystal system: orthorhombic
&SYSTEM
  ibrav = 0, nat = 10, ntyp = 3
/
ATOMIC_SPECIES
La 138.91 La.upf
Dy 162.50 Dy.upf
Ir 192.22 Ir.upf
CELL_PARAMETERS angstrom
2.330 -7.305 0.000
2.330 7.305 0.000
0.000 0.000 7.775
ATOMIC_POSITIONS angstrom
La 2.330 6.318 3.887
La 2.330 4.041 1.029
La 2.330 -4.041 4.916
La 2.330 -6.318 0.000
Dy 2.330 1.192 3.071
Dy 2.330 -1.192 6.959
Ir 2.330 4.686 6.143
Ir 2.330 1.712 6.066
Ir 2.330 -1.712 2.178
Ir 2.330 -4.686 2.256

---

No. 18
! La3BiO3 (PBE, relaxed); values from VASP
! - Raw formation energy: -2679 meV per atom
! - DOS(E_F): 1.97 states/eV/cell
! - Energy: -104.576 eV for the cell shown
! - SG: R-3 (148)
! - Crystal system: trigonal
&SYSTEM
  ibrav = 0, nat = 14, ntyp = 3
/
ATOMIC_SPECIES
La 138.91 La.upf
Bi 208.98 Bi.upf
O 16.00 O.upf
CELL_PARAMETERS angstrom
3.557 2.053 7.857
-3.557 2.053 7.857
0.000 -4.107 7.857
ATOMIC_POSITIONS angstrom
La -1.253 -2.145 9.373
La -2.484 0.012 14.199
La -1.232 2.158 9.373
La 1.232 -2.158 14.199
La 2.484 -0.012 9.373
La 1.253 2.145 14.199
Bi 0.000 0.000 3.925
Bi 0.000 0.000 19.647
O -2.293 0.038 8.763
O -1.180 -1.967 14.808
O 1.113 -2.005 8.763
O -1.113 2.005 14.808
O 1.180 1.967 8.763
O 2.293 -0.038 14.808

---

No. 19
! MnCo2Os (PBE, relaxed); values from VASP
! - E above lowest polymorph: 0.182 eV/f.u.
! - DOS(E_F): 5.61 states/eV/cell
! - Energy: -34.191 eV for the cell shown
! - SG: Cm (8)
! - Crystal system: monoclinic
&SYSTEM
  ibrav = 0, nat = 4, ntyp = 3
/
ATOMIC_SPECIES
Mn 54.94 Mn.upf
Co 58.93 Co.upf
Os 190.23 Os.upf
CELL_PARAMETERS angstrom
4.202 -1.277 0.000
4.202 1.277 0.000
-0.739 0.000 4.381
ATOMIC_POSITIONS angstrom
Mn 0.000 0.000 0.000
Co 3.819 0.000 2.103
Co 6.100 0.000 1.029
Os 1.532 0.000 3.189